Density functional theory data (PBE+U) for a relaxed structure of CoAsO4.

Cell lengths 10.4218, 5.8741, 4.9119 Å; angles 90.00, 90.00, 90.00 degrees
Fractional coordinates of all 24 atoms:
Co 0.2225 0.2500 0.0630
Co 0.2775 0.7500 0.5630
Co 0.7225 0.2500 0.4370
Co 0.7775 0.7500 0.9370
As 0.0913 0.7500 0.0857
As 0.4087 0.2500 0.5857
As 0.5913 0.7500 0.4143
As 0.9087 0.2500 0.9143
O 0.0676 0.2500 0.8341
O 0.1122 0.7500 0.7415
O 0.1751 0.5303 0.2512
O 0.1751 0.9697 0.2512
O 0.3249 0.0303 0.7512
O 0.3249 0.4697 0.7512
O 0.3878 0.2500 0.2415
O 0.4324 0.7500 0.3341
O 0.5676 0.2500 0.6659
O 0.6122 0.7500 0.7585
O 0.6751 0.5303 0.2488
O 0.6751 0.9697 0.2488
O 0.8249 0.0303 0.7488
O 0.8249 0.4697 0.7488
O 0.8878 0.2500 0.2585
O 0.9324 0.7500 0.1659

Summary:
VASP energy	-0.436	Ry per atom
ρ	4.37	g/cm³